Record 1
RbZr after structural relaxation, computed with PBE.

Uncorrected energy (eV/cell): -50.257
Relative energy among the computed polymorphs (meV per atom): 63.4
Density (g/cm3): 2.9

Cell lengths 14.079, 9.365, 4.986 Å; angles 90.00, 90.00, 112.11 degrees
Sites, in units of the cell vectors:
Zr1 0.992 0.016 0.000
Rb1 0.797 0.281 0.000
Rb2 0.305 0.848 0.000
Rb3 0.298 0.297 0.000
Zr2 0.994 0.709 0.000
Rb4 0.591 0.424 0.500
Rb5 0.091 0.442 0.500
Zr3 0.897 0.706 0.500
Rb6 0.584 0.874 0.500
Zr4 0.793 0.773 0.000
Zr5 0.097 0.950 0.500
Zr6 0.895 0.013 0.500

Record 2
Rb2Zr after structural relaxation, computed with PBE.

Uncorrected energy (eV/cell): -12.516
Relative energy among the computed polymorphs (meV per atom): 0.0
Density (g/cm3): 3.1

Cell lengths 7.336, 7.336, 7.336 Å; angles 60.00, 60.00, 60.00 degrees
Site moments in Bohr magnetons follow the coordinates.
Sites, in units of the cell vectors:
Rb1 0.625 0.625 0.625  0.01
Zr1 0.000 0.000 0.000  1.40
Rb2 0.625 0.625 0.125  0.01
Rb3 0.125 0.625 0.625  0.02
Zr2 0.250 0.250 0.250  1.40
Rb4 0.625 0.125 0.625  0.01

Record 3
Rb2Zr after structural relaxation, computed with PBE.

Uncorrected energy (eV/cell): -9.997
Relative energy among the computed polymorphs (meV per atom): 420.0
Density (g/cm3): 0.7

Cell lengths 12.025, 12.025, 12.025 Å; angles 60.00, 60.00, 60.00 degrees
Site moments in Bohr magnetons follow the coordinates.
Sites, in units of the cell vectors:
Rb1 0.500 0.000 0.000  0.04
Rb2 0.000 0.000 0.000  0.04
Rb3 0.000 0.500 0.000  0.04
Rb4 0.000 0.000 0.500  0.05
Zr1 0.125 0.125 0.125  1.86
Zr2 0.875 0.875 0.875  1.86

Record 4
RbZr after structural relaxation, computed with PBE.

Uncorrected energy (eV/cell): -9.149
Relative energy among the computed polymorphs (meV per atom): 1964.3
Density (g/cm3): 2.2

Cell lengths 6.466, 6.466, 7.316 Å; angles 90.00, 90.00, 120.00 degrees
Site moments in Bohr magnetons follow the coordinates.
Sites, in units of the cell vectors:
Zr1 0.000 0.000 0.438  1.76
Zr2 0.333 0.667 0.937  1.76
Rb1 0.000 0.000 0.938  0.07
Rb2 0.333 0.667 0.438  0.06

Record 5
RbZr after structural relaxation, computed with PBE.

Uncorrected energy (eV/cell): -31.394
Relative energy among the computed polymorphs (meV per atom): 327.2
Density (g/cm3): 3.4

Cell lengths 8.776, 8.776, 5.193 Å; angles 90.00, 90.00, 120.00 degrees
Site moments in Bohr magnetons follow the coordinates.
Sites, in units of the cell vectors:
Zr1 0.120 0.560 0.000  0.44
Rb1 0.817 0.634 0.500  0.02
Zr2 0.440 0.560 0.000  0.42
Rb2 0.366 0.183 0.500  0.02
Zr3 0.440 0.880 0.000  0.41
Zr4 0.333 0.667 0.500  0.07
Rb3 0.000 0.000 0.000  0.01
Rb4 0.817 0.183 0.500  0.02

Record 6
Rb3Zr4 after structural relaxation, computed with PBE.

Uncorrected energy (eV/cell): -58.229
Density (g/cm3): 3.9

Cell lengths 10.434, 10.414, 5.635 Å; angles 90.00, 90.00, 60.09 degrees
Sites, in units of the cell vectors:
Rb1 0.392 0.102 0.500
Zr1 0.583 0.322 0.500
Rb2 0.304 0.560 0.000
Zr2 0.094 0.524 0.500
Rb3 0.131 0.279 0.000
Zr3 0.810 0.011 0.500
Zr4 0.714 0.370 0.000
Zr5 0.429 0.857 0.000
Rb4 0.851 0.732 0.000
Zr6 0.631 0.142 0.000
Rb5 0.220 0.821 0.500
Zr7 0.941 0.059 0.000
Zr8 0.893 0.239 0.500
Rb6 0.673 0.649 0.500

Record 7
RbZr after structural relaxation, computed with PBE.

Uncorrected energy (eV/cell): -31.565
Relative energy among the computed polymorphs (meV per atom): 305.9
Density (g/cm3): 3.3

Cell lengths 7.656, 8.977, 5.115 Å; angles 90.00, 90.00, 90.00 degrees
Sites, in units of the cell vectors:
Zr1 0.319 0.500 0.500
Rb1 0.815 0.294 0.500
Zr2 0.433 0.343 0.000
Rb2 0.396 0.000 0.500
Zr3 0.433 0.657 0.000
Rb3 0.013 0.000 0.000
Zr4 0.110 0.500 0.000
Rb4 0.815 0.706 0.500

Record 8
RbZr after structural relaxation, computed with PBE.

Uncorrected energy (eV/cell): -4.992
Relative energy among the computed polymorphs (meV per atom): 1755.5
Density (g/cm3): 2.6

Cell lengths 5.393, 5.393, 5.393 Å; angles 60.00, 60.00, 60.00 degrees
Site moments in Bohr magnetons follow the coordinates.
Sites, in units of the cell vectors:
Rb1 0.000 0.000 0.000  0.07
Zr1 0.500 0.500 0.500  1.73

Record 9
RbZr after structural relaxation, computed with PBE.

Uncorrected energy (eV/cell): -39.769
Relative energy among the computed polymorphs (meV per atom): 274.6
Density (g/cm3): 3.3

Cell lengths 7.729, 11.716, 5.155 Å; angles 90.00, 90.00, 70.74 degrees
Site moments in Bohr magnetons follow the coordinates.
Sites, in units of the cell vectors:
Rb1 0.834 0.442 0.000  0.00
Zr1 0.971 0.932 0.000  -0.11
Zr2 0.189 0.800 0.500  0.10
Rb2 0.475 0.158 0.000  0.00
Zr3 0.103 0.668 0.000  -0.11
Zr4 0.801 0.932 0.500  0.30
Rb3 0.538 0.800 0.000  0.01
Zr5 0.933 0.668 0.500  0.30
Rb4 0.423 0.443 0.500  0.00
Rb5 0.066 0.157 0.500  0.00

Record 10
RbZr after structural relaxation, computed with PBE.

Uncorrected energy (eV/cell): -30.364
Relative energy among the computed polymorphs (meV per atom): 456.0
Density (g/cm3): 3.6

Cell lengths 3.234, 13.710, 7.259 Å; angles 90.00, 90.00, 90.00 degrees
Sites, in units of the cell vectors:
Rb1 0.916 0.485 0.000
Zr1 0.920 0.042 0.000
Zr2 0.413 0.542 0.500
Zr3 0.913 0.708 0.500
Rb2 0.917 0.265 0.500
Rb3 0.417 0.985 0.500
Zr4 0.420 0.208 0.000
Rb4 0.416 0.765 0.000

Record 11
RbZr after structural relaxation, computed with PBE.

Uncorrected energy (eV/cell): -16.196
Relative energy among the computed polymorphs (meV per atom): 202.4
Density (g/cm3): 3.4

Cell lengths 10.965, 3.342, 4.712 Å; angles 90.00, 90.00, 90.00 degrees
Sites, in units of the cell vectors:
Rb1 0.232 0.000 0.500
Rb2 0.601 0.500 0.000
Zr1 0.947 0.000 0.000
Zr2 0.887 0.500 0.500

Record 12
RbZr after structural relaxation, computed with PBE.

Uncorrected energy (eV/cell): -13.877
Relative energy among the computed polymorphs (meV per atom): 782.2
Density (g/cm3): 2.9

Cell lengths 6.787, 6.787, 5.117 Å; angles 90.00, 90.00, 120.00 degrees
Site moments in Bohr magnetons follow the coordinates.
Sites, in units of the cell vectors:
Zr1 0.000 0.000 0.500  0.16
Zr2 0.000 0.000 0.000  0.15
Rb1 0.333 0.667 0.750  0.01
Rb2 0.667 0.333 0.250  0.01

Record 13
RbZr after structural relaxation, computed with PBE.

Uncorrected energy (eV/cell): -50.686
Relative energy among the computed polymorphs (meV per atom): 27.7
Density (g/cm3): 3.4

Cell lengths 5.834, 17.465, 5.147 Å; angles 90.00, 90.00, 89.95 degrees
Sites, in units of the cell vectors:
Zr1 0.143 0.543 0.500
Rb1 0.091 0.777 0.500
Zr2 0.522 0.542 0.000
Zr3 0.053 0.457 0.000
Rb2 0.097 0.002 0.000
Rb3 0.096 0.257 0.500
Rb4 0.591 0.389 0.500
Zr4 0.643 0.624 0.500
Zr5 0.022 0.625 0.000
Rb5 0.596 0.910 0.500
Zr6 0.550 0.709 0.000
Rb6 0.597 0.165 0.000

Record 14
RbZr after structural relaxation, computed with PBE.

Uncorrected energy (eV/cell): -46.501
Relative energy among the computed polymorphs (meV per atom): 376.4
Density (g/cm3): 3.4

Cell lengths 5.421, 16.536, 5.777 Å; angles 90.00, 90.00, 88.37 degrees
Sites, in units of the cell vectors:
Rb1 0.419 0.138 0.000
Rb2 0.406 0.711 0.500
Zr1 0.305 0.924 0.500
Rb3 0.907 0.124 0.500
Zr2 0.804 0.910 0.500
Rb4 0.388 0.314 0.500
Rb5 0.931 0.519 0.500
Rb6 0.921 0.694 0.000
Zr3 0.048 0.921 0.000
Zr4 0.872 0.382 0.000
Zr5 0.452 0.450 0.000
Zr6 0.548 0.913 0.000

Record 15
RbZr after structural relaxation, computed with PBE.

Uncorrected energy (eV/cell): -4.233
Relative energy among the computed polymorphs (meV per atom): 2135.0
Density (g/cm3): 2.0

Cell lengths 5.920, 5.920, 5.920 Å; angles 60.00, 60.00, 60.00 degrees
Site moments in Bohr magnetons follow the coordinates.
Sites, in units of the cell vectors:
Rb1 0.000 0.000 0.000  0.04
Zr1 0.250 0.250 0.250  1.77

Record 16
RbZr after structural relaxation, computed with PBE.

Uncorrected energy (eV/cell): -15.241
Relative energy among the computed polymorphs (meV per atom): 441.2
Density (g/cm3): 3.5

Cell lengths 10.072, 3.308, 5.020 Å; angles 90.00, 90.00, 90.00 degrees
Site moments in Bohr magnetons follow the coordinates.
Sites, in units of the cell vectors:
Rb1 0.482 0.500 0.000  0.02
Rb2 0.851 0.500 0.500  0.02
Zr1 0.221 0.000 0.500  0.26
Zr2 0.112 0.000 0.000  0.26

Record 17
RbZr after structural relaxation, computed with PBE.

Uncorrected energy (eV/cell): -39.056
Relative energy among the computed polymorphs (meV per atom): 345.9
Density (g/cm3): 3.4

Cell lengths 6.111, 14.243, 5.060 Å; angles 90.00, 90.00, 77.62 degrees
Site moments in Bohr magnetons follow the coordinates.
Sites, in units of the cell vectors:
Rb1 0.414 0.355 0.500  0.01
Zr1 0.785 0.600 0.500  1.67
Zr2 0.400 0.103 0.000  -0.02
Rb2 0.284 0.600 0.000  0.03
Rb3 0.168 0.846 0.500  0.01
Rb4 0.906 0.358 0.000  0.02
Rb5 0.663 0.842 0.000  0.02
Zr3 0.657 0.095 0.500  0.00
Zr4 0.153 0.104 0.500  0.00
Zr5 0.903 0.096 0.000  -0.02

Record 18
RbZr after structural relaxation, computed with PBE.

Uncorrected energy (eV/cell): -63.287
Relative energy among the computed polymorphs (meV per atom): 296.0
Density (g/cm3): 3.3

Cell lengths 7.641, 17.746, 5.176 Å; angles 90.00, 90.00, 90.00 degrees
Sites, in units of the cell vectors:
Zr1 0.444 0.326 0.000
Zr2 0.014 0.750 0.000
Zr3 0.444 0.174 0.000
Zr4 0.217 0.750 0.500
Rb1 0.511 0.855 0.000
Zr5 0.889 0.827 0.500
Zr6 0.889 0.673 0.500
Zr7 0.319 0.250 0.500
Zr8 0.116 0.250 0.000
Rb2 0.358 0.487 0.500
Rb3 0.975 0.513 0.000
Rb4 0.975 0.987 0.000
Rb5 0.511 0.645 0.000
Rb6 0.358 0.013 0.500
Rb7 0.822 0.145 0.500
Rb8 0.822 0.355 0.500

Record 19
Re after structural relaxation, computed with PBE.

Uncorrected energy (eV/cell): -72.535
Formation energy from the elements (eV/atom): 0.33
Relative energy among the computed polymorphs (meV per atom): 333.6
Density (g/cm3): 20.0

Cell lengths 5.080, 5.080, 5.080 Å; angles 60.00, 60.00, 60.00 degrees
Sites, in units of the cell vectors:
Re1 0.625 0.625 0.625
Re2 0.625 0.125 0.625
Re3 0.625 0.625 0.125
Re4 0.125 0.625 0.625
Re5 0.250 0.250 0.250
Re6 0.000 0.000 0.000

Record 20
Re after structural relaxation, computed with PBE.

Uncorrected energy (eV/cell): -369.788
Formation energy from the elements (eV/atom): 0.10
Relative energy among the computed polymorphs (meV per atom): 96.5
Density (g/cm3): 20.6

Cell lengths 9.510, 9.510, 4.988 Å; angles 90.00, 90.00, 90.00 degrees
Sites, in units of the cell vectors:
Re1 0.864 0.537 0.000
Re2 0.636 0.037 0.500
Re3 0.817 0.817 0.252
Re4 0.136 0.463 0.000
Re5 0.404 0.404 0.000
Re6 0.317 0.683 0.752
Re7 0.364 0.963 0.500
Re8 0.183 0.183 0.252
Re9 0.566 0.764 0.500
Re10 0.317 0.683 0.248
Re11 0.764 0.566 0.500
Re12 0.683 0.317 0.248
Re13 0.904 0.096 0.500
Re14 0.683 0.317 0.752
Re15 0.934 0.264 0.000
Re16 0.963 0.364 0.500
Re17 0.000 0.000 0.000
Re18 0.236 0.434 0.500
Re19 0.096 0.904 0.500
Re20 0.434 0.236 0.500
Re21 0.817 0.817 0.748
Re22 0.537 0.864 0.000
Re23 0.066 0.736 0.000
Re24 0.736 0.066 0.000
Re25 0.500 0.500 0.500
Re26 0.183 0.183 0.748
Re27 0.596 0.596 0.000
Re28 0.037 0.636 0.500
Re29 0.264 0.934 0.000
Re30 0.463 0.136 0.000